No. 1
VASP calculation (SCAN) on Al2POs at its PBEsol-relaxed geometry.

a b c (Å): 2.8383 4.1180 5.8980
angles (deg): 110.43 103.92 90.00
Sites, in units of the cell vectors:
P 0.1929 0.6929 0.3858
Os 0.5146 0.5146 0.0291
Al 0.9933 0.9933 0.9865
Al 0.7993 0.2993 0.5985

Summary:
As for the symmetry: Imm2 (44). The value obtained for the formation energy is -0.221 eV/atom.

***

No. 2
VASP calculation (SCAN) on AlP2Os at its PBEsol-relaxed geometry.

a b c (Å): 4.2548 4.2548 4.2548
angles (deg): 60.00 60.00 60.00
Sites, in units of the cell vectors:
P 0.0000 0.0000 0.0000
P 0.7500 0.7500 0.7500
Os 0.2500 0.2500 0.2500
Al 0.5000 0.5000 0.5000

Summary:
As for the symmetry: F-43m (216). The value obtained for the formation energy is 0.459 eV/atom.

***

No. 3
VASP calculation (SCAN) on AlPOs2 at its PBEsol-relaxed geometry.

a b c (Å): 2.9711 4.1552 4.1552
angles (deg): 90.00 90.00 90.00
Sites, in units of the cell vectors:
P 0.5000 0.5000 0.5000
Os 0.0000 0.0000 0.5000
Os 0.0000 0.5000 0.0000
Al 0.5000 0.0000 0.0000

Summary:
As for the symmetry: P4/mmm (123). Its energy above the most stable polymorph in this dataset is 0.000 eV per atom. The value obtained for the formation energy is -0.283 eV/atom.

***

No. 4
VASP calculation (SCAN) on Al2POs at its PBEsol-relaxed geometry.

a b c (Å): 3.7489 3.7489 4.6629
angles (deg): 113.70 113.70 90.00
Sites, in units of the cell vectors:
P 0.0000 0.0000 0.0000
Os 0.5000 0.5000 0.0000
Al 0.7500 0.2500 0.5000
Al 0.2500 0.7500 0.5000

Summary:
As for the symmetry: I4/mmm (139). The value obtained for the formation energy is -0.111 eV/atom.

***

No. 5
VASP calculation (SCAN) on AlPOs3 at its PBEsol-relaxed geometry.

a b c (Å): 4.3855 4.3855 4.3855
angles (deg): 90.00 90.00 90.00
Sites, in units of the cell vectors:
P 0.5000 0.5000 0.5000
Os 0.0000 0.5000 0.0000
Os 0.0000 0.0000 0.5000
Os 0.5000 0.0000 0.0000
Al 0.0000 0.0000 0.0000

Summary:
As for the symmetry: Pm-3m (221). The value obtained for the formation energy is 2.049 eV/atom.

***

No. 6
VASP calculation (SCAN) on AlP2Os at its PBEsol-relaxed geometry.

a b c (Å): 2.8787 4.1424 5.9005
angles (deg): 110.55 104.12 90.00
Sites, in units of the cell vectors:
P 0.6819 0.6819 0.3639
P 0.3181 0.3181 0.6361
Os 0.0000 0.5000 0.0000
Al 0.5000 0.0000 0.0000

Summary:
As for the symmetry: Immm (71). The value obtained for the formation energy is 0.028 eV/atom.

***

No. 7
VASP calculation (SCAN) on AlPOs2 at its PBEsol-relaxed geometry.

a b c (Å): 6.9703 5.5229 6.9703
angles (deg): 50.87 90.00 129.13
Sites, in units of the cell vectors:
P 0.7500 0.5000 0.7500
P 0.0000 0.0000 0.0000
Os 0.7014 0.7500 0.3750
Os 0.0486 0.7500 0.8750
Os 0.8750 0.2500 0.7014
Os 0.3750 0.2500 0.0486
Al 0.2500 0.5000 0.2500
Al 0.5000 0.0000 0.5000

Summary:
As for the symmetry: I-42d (122). Its energy above the most stable polymorph in this dataset is 0.423 eV per atom. The value obtained for the formation energy is 0.139 eV/atom.

***

No. 8
VASP calculation (SCAN) on AlP3Os at its PBEsol-relaxed geometry.

a b c (Å): 4.5825 4.5825 4.5825
angles (deg): 90.00 90.00 90.00
Sites, in units of the cell vectors:
P 0.0000 0.5000 0.0000
P 0.0000 0.0000 0.5000
P 0.5000 0.0000 0.0000
Os 0.0000 0.0000 0.0000
Al 0.5000 0.5000 0.5000

Summary:
As for the symmetry: Pm-3m (221). The value obtained for the formation energy is 0.868 eV/atom.

***

No. 9
VASP calculation (SCAN) on AlTePOs2 at its PBEsol-relaxed geometry.

a b c (Å): 4.7971 4.7971 4.9555
angles (deg): 90.00 90.00 90.00
Sites, in units of the cell vectors:
P 0.5000 0.5000 0.5000
Te 0.0000 0.0000 0.0000
Os 0.0000 0.5000 0.0000
Os 0.5000 0.0000 0.0000
Al 0.0000 0.0000 0.5000

Summary:
As for the symmetry: P4/mmm (123). The value obtained for the formation energy from raw total energies is 2.393 eV per atom.

***

No. 10
VASP calculation (SCAN) on AlOsPb at its PBEsol-relaxed geometry.

a b c (Å): 4.3369 4.3369 4.3369
angles (deg): 60.00 60.00 60.00
Sites, in units of the cell vectors:
Pb 0.5000 0.5000 0.5000
Os 0.0000 0.0000 0.0000
Al 0.2500 0.2500 0.2500

Summary:
As for the symmetry: F-43m (216). Its energy above the most stable polymorph in this dataset is 0.413 eV per atom. The value obtained for the formation energy is 0.671 eV/atom.

***

No. 11
VASP calculation (SCAN) on AlOsPb at its PBEsol-relaxed geometry.

a b c (Å): 3.1341 3.1341 6.4111
angles (deg): 104.15 104.15 90.00
Sites, in units of the cell vectors:
Pb 0.3083 0.3083 0.6167
Os 0.6443 0.6443 0.2885
Al 0.0474 0.0474 0.0948

Summary:
As for the symmetry: I4mm (107). Its energy above the most stable polymorph in this dataset is 0.000 eV per atom. The value obtained for the formation energy is 0.258 eV/atom.

***

No. 12
VASP calculation (SCAN) on AlOsPb at its PBEsol-relaxed geometry.

a b c (Å): 3.4371 4.3283 4.3283
angles (deg): 120.00 90.00 90.00
Sites, in units of the cell vectors:
Pb 0.5000 0.6667 0.3333
Os 0.0000 0.3333 0.6667
Al 0.0000 0.0000 0.0000

Summary:
As for the symmetry: P-6m2 (187). Its energy above the most stable polymorph in this dataset is 0.285 eV per atom. The value obtained for the formation energy is 0.543 eV/atom.

***

Number 1: E -98.67 eV per cell, DOS(E_F) 1.0 states/eV/f.u., calculated volume 62 Å³/cell. Number 2: E -98.59 eV per cell, DOS(E_F) 1.7 states/eV/f.u., calculated volume 54 Å³/cell. Number 3: E -163.04 eV per cell, DOS(E_F) 1.2 states/eV/f.u., calculated volume 51 Å³/cell. Number 4: E -98.22 eV per cell, DOS(E_F) 1.6 states/eV/f.u., calculated volume 54 Å³/cell. Number 5: E -223.55 eV per cell, DOS(E_F) 5.2 states/eV/f.u., calculated volume 84 Å³/cell. Number 6: E -100.32 eV per cell, DOS(E_F) 1.5 states/eV/f.u., calculated volume 64 Å³/cell. Number 7: E -322.71 eV per cell, DOS(E_F) 2.2 states/eV/f.u., calculated volume 121 Å³/cell. Number 8: E -106.49 eV per cell, DOS(E_F) 4.5 states/eV/f.u., calculated volume 96 Å³/cell. Number 9: E -187.20 eV per cell, DOS(E_F) 3.4 states/eV/f.u., calculated volume 114 Å³/cell. Number 10: E -153.40 eV per cell, DOS(E_F) 1.1 states/eV/f.u., calculated volume 58 Å³/cell. Number 11: E -154.64 eV per cell, DOS(E_F) 1.5 states/eV/f.u., calculated volume 59 Å³/cell. Number 12: E -153.78 eV per cell, DOS(E_F) 3.2 states/eV/f.u., calculated volume 56 Å³/cell.